Record 1
PmInGaPt, relaxed, DFT GGA-PBE; DFT formation energy = -655 meV/atom
1.0
6.9816 0.0000 0.0000
0.0000 6.9816 0.0000
0.0000 0.0000 6.9816
Pm In Ga Pt
4 4 4 4
direct
0.0000 0.0000 0.0000 Pm
0.0000 0.5000 0.5000 Pm
0.5000 0.0000 0.5000 Pm
0.5000 0.5000 0.0000 Pm
0.0000 0.0000 0.5000 In
0.0000 0.5000 0.0000 In
0.5000 0.0000 0.0000 In
0.5000 0.5000 0.5000 In
0.2500 0.2500 0.2500 Ga
0.2500 0.7500 0.7500 Ga
0.7500 0.2500 0.7500 Ga
0.7500 0.7500 0.2500 Ga
0.2500 0.2500 0.7500 Pt
0.2500 0.7500 0.2500 Pt
0.7500 0.2500 0.2500 Pt
0.7500 0.7500 0.7500 Pt

***

Record 2
Pr2ErHg3, relaxed, DFT GGA-PBE; DFT formation energy = -469 meV/atom
1.0
3.7655 0.0000 0.0000
0.0000 3.7655 0.0000
0.0000 0.0000 11.6752
Pr Er Hg
2 1 3
direct
0.0000 0.0000 0.1726 Pr
0.0000 0.0000 0.8274 Pr
0.0000 0.0000 0.5000 Er
0.5000 0.5000 0.0000 Hg
0.5000 0.5000 0.3515 Hg
0.5000 0.5000 0.6485 Hg

***

Record 3
SmAlZn2Ag5, relaxed, DFT GGA-PBE; DFT formation energy = 54 meV/atom
1.0
4.9265 0.0000 0.0000
0.0000 4.9265 0.0000
0.0000 0.0000 7.4489
Sm Al Zn Ag
1 1 2 5
direct
0.0000 0.0000 0.0000 Sm
0.0000 0.0000 0.5000 Al
0.5000 0.5000 0.3431 Zn
0.5000 0.5000 0.6569 Zn
0.0000 0.5000 0.2668 Ag
0.0000 0.5000 0.7332 Ag
0.5000 0.0000 0.2668 Ag
0.5000 0.0000 0.7332 Ag
0.5000 0.5000 0.0000 Ag

***

Record 4
Y2TlCoPb, relaxed, DFT GGA-PBE; ΔE to the lowest computed polymorph = 0.0124 eV per atom; DFT formation energy = -174 meV/atom
1.0
5.1874 0.0000 0.0000
0.0000 5.1874 0.0000
0.0000 0.0000 4.9486
Y Tl Co Pb
2 1 1 1
direct
0.0000 0.5000 0.0000 Y
0.5000 0.0000 0.0000 Y
0.0000 0.0000 0.5000 Tl
0.5000 0.5000 0.0000 Co
0.5000 0.5000 0.5000 Pb

***

Record 5
DyY3Tl4S8, relaxed, DFT GGA-PBE; ΔE_f (raw) = -23.88 eV per formula unit
1.0
4.0350 2.3296 7.5190
-4.0350 2.3296 7.5190
0.0000 -4.6593 7.5190
Dy Y Tl S
1 3 4 8
direct
0.0000 0.0000 0.0000 Dy
0.0000 0.5000 0.5000 Y
0.5000 0.0000 0.5000 Y
0.5000 0.5000 0.0000 Y
0.0000 0.0000 0.5000 Tl
0.0000 0.5000 0.0000 Tl
0.5000 0.0000 0.0000 Tl
0.5000 0.5000 0.5000 Tl
0.2325 0.2325 0.7332 S
0.2325 0.7332 0.2325 S
0.2672 0.2672 0.2672 S
0.2668 0.7675 0.7675 S
0.7332 0.2325 0.2325 S
0.7328 0.7328 0.7328 S
0.7675 0.2668 0.7675 S
0.7675 0.7675 0.2668 S

***

Record 6
ScCd2As, relaxed, DFT GGA-PBE; DFT formation energy = -46 meV/atom
1.0
3.1535 0.0000 0.0000
0.0000 3.1535 0.0000
0.0000 0.0000 8.7988
Sc Cd As
1 2 1
direct
0.0000 0.0000 0.0000 Sc
0.5000 0.5000 0.2507 Cd
0.5000 0.5000 0.7493 Cd
0.0000 0.0000 0.5000 As

***

Record 7
Rb2CuH4, relaxed, DFT GGA-PBE; energy = -39.1 eV/cell
1.0
5.7027 0.0000 0.0000
0.0000 5.8633 0.0000
-1.5514 0.0000 8.6529
Rb Cu H
4 2 8
direct
0.2097 0.2500 0.3990 Rb
0.2751 0.7500 0.0301 Rb
0.7249 0.2500 0.9699 Rb
0.7903 0.7500 0.6010 Rb
0.1513 0.2500 0.7708 Cu
0.8487 0.7500 0.2292 Cu
0.0790 0.7500 0.3625 H
0.2117 0.5096 0.7450 H
0.2117 0.9904 0.7450 H
0.2382 0.2500 0.9560 H
0.7618 0.7500 0.0440 H
0.7883 0.0096 0.2550 H
0.7883 0.4904 0.2550 H
0.9210 0.2500 0.6375 H

***

Record 8
ScMn2Si, relaxed, DFT GGA-PBE; ΔE_f (raw) = -0.89 eV per formula unit
1.0
3.0615 0.0000 0.0000
0.0000 3.0615 0.0000
0.0000 0.0000 5.8445
Sc Mn Si
1 2 1
direct
0.0000 0.0000 0.0000 Sc
0.5000 0.5000 0.2942 Mn
0.5000 0.5000 0.7058 Mn
0.0000 0.0000 0.5000 Si

***

Record 9
La2PrCu, relaxed, DFT GGA-PBE; ΔE to the lowest computed polymorph = 0.0070 eV per atom; DFT formation energy = -55 meV/atom
1.0
3.7105 0.0000 0.0000
0.0000 3.7105 0.0000
0.0000 0.0000 8.9081
La Pr Cu
2 1 1
direct
0.0000 0.0000 0.1966 La
0.0000 0.0000 0.8034 La
0.5000 0.5000 0.5000 Pr
0.5000 0.5000 0.0000 Cu

***

Record 10
RbOs3Pt, relaxed, DFT GGA-PBE; ΔE to the lowest computed polymorph = 0.0000 eV per atom; DFT formation energy = 2451 meV/atom
1.0
4.8955 0.0000 0.0000
0.0000 4.8955 0.0000
0.0000 0.0000 4.8955
Rb Os Pt
1 3 1
direct
0.0000 0.0000 0.0000 Rb
0.0000 0.5000 0.5000 Os
0.5000 0.0000 0.5000 Os
0.5000 0.5000 0.0000 Os
0.5000 0.5000 0.5000 Pt

***

Record 11
Na8AgPb2, relaxed, DFT GGA-PBE; ΔE to the lowest computed polymorph = 0.0212 eV per atom; DFT formation energy = -62 meV/atom
1.0
4.9049 -6.3305 0.0000
4.9049 6.3305 0.0000
-0.0293 0.0000 5.4759
Na Ag Pb
8 1 2
direct
0.0369 0.2990 0.4997 Na
0.2451 0.7549 0.0000 Na
0.2990 0.0369 0.4997 Na
0.3313 0.3313 0.0001 Na
0.6687 0.6687 0.9999 Na
0.7010 0.9631 0.5003 Na
0.7549 0.2451 0.0000 Na
0.9631 0.7010 0.5003 Na
0.0000 0.0000 0.0000 Ag
0.3754 0.6246 0.5000 Pb
0.6246 0.3754 0.5000 Pb